Entry from Alexandria via LeMat-Bulk: a relaxed structure of IrPtRh (PBE).

a b c (Å): 7.523 7.267 2.721
angles (deg): 84.75 74.14 21.11
Sites, in units of the cell vectors:
Ir (0.000, 0.000, 0.000)
Pt (0.329, 0.329, 0.671)
Rh (0.659, 0.659, 0.341)

## Properties
- Formation enthalpy at 0 K: 0.166 eV per atom
- Raw total energy: -7.2515 eV per atom
- Total magnetic moment: 0.000 μB/cell